Entry 1:
The following is a DFT calculation (PBE) of a relaxed structure of AcSi3OsRh.

The structure belongs to space group Cmcm (No. 63); the cell edges are 7.249, 11.705 and 5.794 Å and the angles 90.00°, 90.00° and 90.00°. The asymmetric unit holds Ac at (0.000, 0.248, 0.250), Si at (0.000, 0.247, 0.750), Si at (0.247, 0.500, 0.000), Os at (0.000, 0.057, 0.750) and Rh at (0.000, 0.434, 0.750).

As for the density: 8.165 g/cm3. As for the uncorrected formation energy: -2.9 eV/f.u.

***

Entry 2:
The following is a DFT calculation (PBE) of a relaxed structure of Ac8Os2Ru.

The structure belongs to space group C2/m (No. 12); the cell edges are 15.896, 7.666 and 6.981 Å and the angles 90.00°, 109.70° and 90.00°. The asymmetric unit holds Ac at (0.081, 0.000, 0.281), Ac at (0.124, 0.259, 0.838), Ac at (0.171, 0.500, 0.351), Os at (0.236, 0.000, 0.186) and Ru at (0.000, 0.500, 0.000).

The value obtained for the energy of formation from the pure elements is 1.1 kcal/mol of atoms. As for the density: 9.527 g/cm3.

***

Entry 3:
The following is a DFT calculation (PBE) of a relaxed structure of Ac5OsRu.

The structure belongs to space group C2/c (No. 15); the cell edges are 11.189, 9.252 and 11.200 Å and the angles 90.00°, 111.19° and 90.00°. The asymmetric unit holds Ac at (0.000, 0.248, 0.250), Ac at (0.106, 0.328, 0.654), Ac at (0.181, 0.048, 0.005), Os at (0.250, 0.250, 0.500) and Ru at (0.000, 0.075, 0.750).

The value obtained for the energy of formation from the pure elements is 0.8 kcal/mol of atoms. As for the density: 8.763 g/cm3.

***

Entry 4:
The following is a DFT calculation (PBE) of a relaxed structure of Ac4OsRu.

The structure belongs to space group C2/c (No. 15); the cell edges are 8.840, 16.393 and 7.324 Å and the angles 90.00°, 127.08° and 90.00°. The asymmetric unit holds Ac at (0.248, 0.198, 0.250), Ac at (0.250, 0.058, 0.752), Os at (0.000, 0.334, 0.250) and Ru at (0.000, 0.162, 0.750).

The value obtained for the energy of formation from the pure elements is -1.7 kcal/mol of atoms. As for the density: 9.408 g/cm3.

***

Entry 5:
The following is a DFT calculation (PBE) of a relaxed structure of AcSi2OsRu.

The structure belongs to space group I-4m2 (No. 119); the cell edges are 4.281, 4.281 and 10.351 Å and the angles 90.00°, 90.00° and 90.00°. The asymmetric unit holds Ac at (0.000, 0.000, 0.000), Si at (0.000, 0.000, 0.356), Os at (0.000, 0.500, 0.250) and Ru at (0.000, 0.500, 0.750).

As for the density: 10.058 g/cm3. As for the uncorrected formation energy: -3.7 eV/f.u.

***

Entry 6:
The following is a DFT calculation (PBE) of a relaxed structure of Ac4OsSe2S.

The structure belongs to space group P2/m (No. 10); the cell edges are 7.683, 4.353 and 7.814 Å and the angles 90.00°, 107.48° and 90.00°. The asymmetric unit holds Ac at (0.232, 0.000, 0.225), Ac at (0.241, 0.500, 0.771), Os at (0.000, 0.500, 0.000), Se at (0.000, 0.000, 0.500), Se at (0.500, 0.500, 0.500) and S at (0.500, 0.000, 0.000).

As for the density: 8.582 g/cm3. As for the uncorrected formation energy: -11.1 eV/f.u.